The following is a DFT calculation (PBE-GGA) of a relaxed Ce5Ag2Ir2 crystal.

Output
DOS at the Fermi energy ... 48.887 states/eV per cell
Total moment ... 0.455 μB/atom
E_form ... -0.310 eV/atom

```
data_Ce5Ag2Ir2
_cell_length_a 10.4568
_cell_length_b 10.4568
_cell_length_c 10.4568
_cell_angle_alpha 56.38
_cell_angle_beta 143.92
_cell_angle_gamma 138.21
_space_group_name_H-M_alt 'P 1'
_space_group_IT_number 1
loop_
_space_group_symop_operation_xyz
'x,y,z'
loop_
_atom_site_label
_atom_site_fract_x
_atom_site_fract_y
_atom_site_fract_z
Ce1 0.1627 0.0790 0.2417
Ce2 0.1627 0.4210 0.5837
Ce3 0.2261 0.5171 0.0376
Ce4 0.2261 0.6885 0.2090
Ce5 0.4795 0.0171 0.7910
Ce6 0.4795 0.1885 0.9624
Ce7 0.5788 0.4613 0.6174
Ce8 0.8373 0.5790 0.4163
Ce9 0.8373 0.9210 0.7583
Ce10 0.8439 0.9613 0.3826
Ag1 0.5382 0.0990 0.3186
Ag2 0.5382 0.7197 0.9392
Ag3 0.7805 0.2197 0.6814
Ag4 0.7805 0.5990 0.0608
Ir1 0.0023 0.2921 0.2101
Ir2 0.0820 0.7921 0.7899
Ir3 0.2961 0.2961 0.0000
Ir4 0.2961 0.7961 0.5000
```